# PBE-GGA CaMgVHg2, relaxed
data_CaMgVHg2
_cell_length_a 5.6234
_cell_length_b 5.6234
_cell_length_c 5.8916
_cell_angle_alpha 90.00
_cell_angle_beta 90.00
_cell_angle_gamma 90.00
_symmetry_space_group_name_H-M 'P 4/m m m'
_symmetry_Int_Tables_number 123
_symmetry_space_group_name_Hall '-P 4 2'
loop_
_atom_site_label
_atom_site_type_symbol
_atom_site_fract_x
_atom_site_fract_y
_atom_site_fract_z
Ca1 Ca 0.0000 0.0000 0.0000
Mg1 Mg 0.0000 0.0000 0.5000
V1 V 0.5000 0.5000 0.5000
Hg1 Hg 0.0000 0.5000 0.0000
# Raw total energy = -1.59 eV per atom
# DFT formation energy = 1078.5 meV/atom